Below is crystalline Nd3Fe5Se12 at its relaxed geometry, with properties calculated at the GGA-PBE level.

The structure belongs to space group Ia-3d (No. 230); the cell edges are 15.605, 15.605 and 15.605 Å and the angles 90.00°, 90.00° and 90.00°. The distinct sites, in fractional coordinates, are Nd at (0.000, 0.250, 0.125), Fe at (0.000, 0.000, 0.000), Fe at (0.000, 0.250, 0.375) and Se at (0.030, 0.054, 0.645).

Its energy relative to the elements, uncorrected is -0.74 eV per atom.


Below is crystalline SnPC3 at its relaxed geometry, with properties calculated at the GGA-PBE level.

The structure belongs to space group Pm-3m (No. 221); the cell edges are 4.300, 4.300 and 4.300 Å and the angles 90.00°, 90.00° and 90.00°. The distinct sites, in fractional coordinates, are Sn at (0.000, 0.000, 0.000), P at (0.500, 0.500, 0.500) and C at (0.000, 0.000, 0.500).

The calculation puts the energy above the most stable polymorph in this dataset at 1268 meV per atom. The formation energy is 3.228 eV per atom.


Below is crystalline Tb5MgS6 at its relaxed geometry, with properties calculated at the GGA-PBE level.

The structure belongs to space group C2/m (No. 12); the cell edges are 6.741, 11.738 and 6.729 Å and the angles 90.00°, 109.52° and 90.00°. The distinct sites, in fractional coordinates, are Tb at (0.000, 0.000, 0.000), Tb at (0.000, 0.167, 0.500), Tb at (0.000, 0.330, 0.000), Mg at (0.000, 0.500, 0.500), S at (0.236, 0.500, 0.259) and S at (0.239, 0.341, 0.741).

Its energy relative to the elements, uncorrected is -1.88 eV per atom.


Below is crystalline Pu2OF8 at its relaxed geometry, with properties calculated at the GGA-PBE level.

The structure belongs to space group Immm (No. 71); the cell edges are 4.482, 8.392 and 12.040 Å and the angles 90.00°, 90.00° and 90.00°. The distinct sites, in fractional coordinates, are Pu at (0.000, 0.000, 0.169), O at (0.000, 0.000, 0.000), F at (0.000, 0.000, 0.335), F at (0.000, 0.241, 0.166) and F at (0.000, 0.500, 0.342).

Its energy relative to the elements, uncorrected is -3.09 eV per atom.


Below is crystalline LiNd2Tm3Te6 at its relaxed geometry, with properties calculated at the GGA-PBE level.

The structure belongs to space group C2/m (No. 12); the cell edges are 19.137, 4.344 and 8.788 Å and the angles 90.00°, 103.77° and 90.00°. The distinct sites, in fractional coordinates, are Li at (0.000, 0.000, 0.000), Nd at (0.172, 0.500, 0.344), Tm at (0.000, 0.000, 0.500), Tm at (0.170, 0.500, 0.833), Te at (0.003, 0.500, 0.754), Te at (0.161, 0.000, 0.594) and Te at (0.163, 0.000, 0.072).

Its energy relative to the elements, uncorrected is -1.30 eV per atom.


Below is crystalline SmTm2N3 at its relaxed geometry, with properties calculated at the GGA-PBE level.

The structure belongs to space group C2/m (No. 12); the cell edges are 6.005, 10.401 and 6.004 Å and the angles 90.00°, 109.46° and 90.00°. The distinct sites, in fractional coordinates, are Sm at (0.000, 0.167, 0.000), Tm at (0.000, 0.000, 0.500), Tm at (0.000, 0.335, 0.500), Tm at (0.000, 0.500, 0.000), N at (0.240, 0.500, 0.743) and N at (0.249, 0.337, 0.258).

Its energy relative to the elements, uncorrected is -1.69 eV per atom.


Below is crystalline CaCd2P2 at its relaxed geometry, with properties calculated at the GGA-PBE level.

The structure belongs to space group I4/mmm (No. 139); the cell edges are 4.140, 4.140 and 13.114 Å and the angles 90.00°, 90.00° and 90.00°. The distinct sites, in fractional coordinates, are Ca at (0.000, 0.000, 0.000), Cd at (0.000, 0.500, 0.250) and P at (0.000, 0.000, 0.388).

The calculation puts the energy above the most stable polymorph in this dataset at 243 meV per atom. The formation energy is -0.325 eV per atom.


Below is crystalline TbZnSi2Pt5 at its relaxed geometry, with properties calculated at the GGA-PBE level.

The structure belongs to space group P4/mmm (No. 123); the cell edges are 4.038, 4.038 and 10.490 Å and the angles 90.00°, 90.00° and 90.00°. The distinct sites, in fractional coordinates, are Tb at (0.000, 0.000, 0.000), Zn at (0.000, 0.000, 0.500), Si at (0.500, 0.500, 0.224), Pt at (0.000, 0.500, 0.341) and Pt at (0.500, 0.500, 0.000).

Its energy relative to the elements, uncorrected is -0.72 eV per atom.


| no. | volume (Å³/f.u.) | M_tot (μB per cell) |
| --- | --- | --- |
| 1 | 475.0 | 122.56 |
| 2 | 79.5 | 1.27 |
| 3 | 250.9 | 0.00 |
| 4 | 226.4 | 12.00 |
| 5 | 354.8 | 0.00 |
| 6 | 88.4 | 0.00 |
| 7 | 112.4 | 0.00 |
| 8 | 171.0 | 0.00 |